This record from the Alexandria database describes Cs2CrF7 after structural relaxation. The functional is PBE with a Hubbard U.

Energy in eV/atom: -4.5798
Size of the total moment in μB per formula unit: 0.9
ρ in g/cm3: 3.88

CIF file:
```
data_Cs2CrF7
_cell_length_a 8.2894
_cell_length_b 8.2894
_cell_length_c 10.7545
_cell_angle_alpha 130.13
_cell_angle_beta 130.13
_cell_angle_gamma 47.39
_symmetry_space_group_name_H-M 'P 1'
_symmetry_Int_Tables_number 1
_symmetry_space_group_name_Hall 'P 1'
loop_
_atom_site_label
_atom_site_fract_x
_atom_site_fract_y
_atom_site_fract_z
_atom_site_occupancy
Cs1 0.0258 0.6626 0.7604 1
Cs2 0.3374 0.9742 0.7396 1
Cs3 0.6626 0.0258 0.2604 1
Cs4 0.9742 0.3374 0.2396 1
Cr1 0.2948 0.7052 0.2500 1
Cr2 0.7052 0.2948 0.7500 1
F1 0.0202 0.1379 0.8979 1
F2 0.1379 0.0202 0.3979 1
F3 0.2073 0.6152 0.3076 1
F4 0.2372 0.4769 0.0261 1
F5 0.3848 0.7927 0.1924 1
F6 0.4148 0.5852 0.7500 1
F7 0.4769 0.2372 0.5261 1
F8 0.5231 0.7628 0.4739 1
F9 0.5852 0.4148 0.2500 1
F10 0.6152 0.2073 0.8076 1
F11 0.7628 0.5231 0.9739 1
F12 0.7927 0.3848 0.6924 1
F13 0.8621 0.9798 0.6021 1
F14 0.9798 0.8621 0.1021 1
```